LaPrEuSn | PBE | relaxed

The structure in POSCAR format:
```
LaPrEuSn
1.0
0.000 4.000 4.000
4.000 0.000 4.000
4.000 4.000 0.000
La Pr Eu Sn
1 1 1 1
Direct
0.000 0.000 0.000
0.500 0.500 0.500
0.750 0.750 0.750
0.250 0.250 0.250
```

**Crystal system**: cubic
**Total magnetization**: 7.7 μB/f.u.
**Fermi-level density of states**: 5.84 states/eV/cell


SrLaPrEu | PBE | relaxed

The structure in POSCAR format:
```
SrLaPrEu
1.0
0.000 4.355 4.355
4.355 0.000 4.355
4.355 4.355 0.000
Sr La Pr Eu
1 1 1 1
Direct
0.000 0.000 0.000
0.500 0.500 0.500
0.750 0.750 0.750
0.250 0.250 0.250
```

**Crystal system**: cubic
**Total magnetization**: 7.5 μB/f.u.
**Fermi-level density of states**: 4.82 states/eV/cell


Number 1: total energy -0.2320 Ha/atom. Number 2: total energy -0.1931 Ha/atom.